Record 1
This record from the Alexandria database describes a relaxed structure of NiP2PtO. The functional is GGA+U.

Geometry as CIF:
```
data_NiP2PtO
_cell_length_a 4.530
_cell_length_b 4.530
_cell_length_c 3.391
_cell_angle_alpha 90.00
_cell_angle_beta 90.00
_cell_angle_gamma 90.00
_symmetry_space_group_name_H-M 'P 1'
_symmetry_Int_Tables_number 1
loop_
_symmetry_equiv_pos_as_xyz
'x,y,z'
loop_
_atom_site_label
_atom_site_type_symbol
_atom_site_fract_x
_atom_site_fract_y
_atom_site_fract_z
P1 P 0.000 0.500 0.000
P2 P 0.500 0.000 0.000
Pt1 Pt 0.500 0.500 0.500
Ni1 Ni 0.000 0.000 0.000
O1 O 0.000 0.000 0.500
```


Record 2
This record from the Alexandria database describes a relaxed structure of NiP2PtO. The functional is GGA+U.

Geometry as CIF:
```
data_NiP2PtO
_cell_length_a 4.815
_cell_length_b 4.815
_cell_length_c 3.699
_cell_angle_alpha 90.00
_cell_angle_beta 90.00
_cell_angle_gamma 90.00
_symmetry_space_group_name_H-M 'P 1'
_symmetry_Int_Tables_number 1
loop_
_symmetry_equiv_pos_as_xyz
'x,y,z'
loop_
_atom_site_label
_atom_site_type_symbol
_atom_site_fract_x
_atom_site_fract_y
_atom_site_fract_z
P1 P 0.000 0.500 0.000
O1 O 0.000 0.000 0.500
P2 P 0.500 0.000 0.000
Pt1 Pt 0.000 0.000 0.000
Ni1 Ni 0.500 0.500 0.500
```


The records above yield E_tot values of -4.424, -3.883 eV per atom, respectively.